No. 1
## Ba5MgHg2 (PBE)

Data for a geometry-optimized Ba5MgHg2 structure.

formation enthalpy at 0 K	-2.07	eV/f.u.

abc: 9.550 9.550 16.034
angles: 90.00 90.00 90.00
Space group I4/mcm (No. 140)
Unique sites:
Ba 0.000 0.000 0.000
Ba 0.162 0.338 0.139
Mg 0.000 0.000 0.250
Hg 0.130 0.370 0.500


No. 2
## Ru2PtBr (PBE)

Data for a geometry-optimized Ru2PtBr structure.

formation energy without anion corrections	89.55	kJ/mol of atoms
polymorph energy (0 for the lowest one)	486	meV per atom

abc: 2.817 4.735 4.804
angles: 90.00 90.00 90.00
Space group Pmmm (No. 47)
Unique sites:
Ru 0.000 0.000 0.000
Ru 0.500 0.000 0.500
Pt 0.000 0.500 0.500
Br 0.500 0.500 0.000


No. 3
## NdPuCd2 (PBE)

Data for a geometry-optimized NdPuCd2 structure.

formation enthalpy at 0 K	-0.49	eV/f.u.
polymorph energy (0 for the lowest one)	7	meV per atom

abc: 3.292 3.292 9.722
angles: 90.00 90.00 90.00
Space group P4/mmm (No. 123)
Unique sites:
Nd 0.000 0.000 0.000
Pu 0.000 0.000 0.500
Cd 0.500 0.500 0.252


No. 4
## Sc3CuS (PBE)

Data for a geometry-optimized Sc3CuS structure.

formation energy without anion corrections	-47.34	kJ/mol of atoms
polymorph energy (0 for the lowest one)	348	meV per atom

abc: 4.776 4.776 4.776
angles: 90.00 90.00 90.00
Space group Pm-3m (No. 221)
Unique sites:
Sc 0.000 0.000 0.500
Cu 0.500 0.500 0.500
S 0.000 0.000 0.000


No. 5
## Ti3Ge (PBE)

Data for a geometry-optimized Ti3Ge structure.

formation enthalpy at 0 K	-1.77	eV/f.u.

abc: 10.247 10.247 5.126
angles: 90.00 90.00 90.00
Space group P4_2/n (No. 86, origin choice 2)
Unique sites:
Ti 0.033 0.567 0.249
Ti 0.106 0.222 0.468
Ti 0.145 0.669 0.783
Ge 0.046 0.208 0.963


No. 6
## LiEuThIn (PBE)

Data for a geometry-optimized LiEuThIn structure.

formation enthalpy at 0 K	-0.27	eV/f.u.

abc: 7.717 7.717 7.717
angles: 90.00 90.00 90.00
Space group F-43m (No. 216)
Unique sites:
Li 0.000 0.000 0.000
Eu 0.250 0.250 0.750
Th 0.250 0.250 0.250
In 0.000 0.000 0.500


No. 7
## CaRhAu2 (PBE)

Data for a geometry-optimized CaRhAu2 structure.

formation enthalpy at 0 K	-0.96	eV/f.u.

abc: 3.558 3.598 6.063
angles: 90.00 90.00 90.00
Space group Pmm2 (No. 25)
Unique sites:
Ca 0.000 0.000 0.000
Rh 0.500 0.500 0.263
Au 0.000 0.000 0.481
Au 0.500 0.500 0.726


No. 8
## HfTaCoCu (PBE)

Data for a geometry-optimized HfTaCoCu structure.

formation enthalpy at 0 K	-0.27	eV/f.u.

abc: 6.289 6.289 6.289
angles: 90.00 90.00 90.00
Space group F-43m (No. 216)
Unique sites:
Hf 0.000 0.000 0.000
Ta 0.000 0.000 0.500
Co 0.250 0.250 0.250
Cu 0.250 0.250 0.750


What did the second record say?
## Ru2PtBr (PBE)

Data for a geometry-optimized Ru2PtBr structure.

formation energy without anion corrections	89.55	kJ/mol of atoms
polymorph energy (0 for the lowest one)	486	meV per atom

abc: 2.817 4.735 4.804
angles: 90.00 90.00 90.00
Space group Pmmm (No. 47)
Unique sites:
Ru 0.000 0.000 0.000
Ru 0.500 0.000 0.500
Pt 0.000 0.500 0.500
Br 0.500 0.500 0.000